# 1
DFT (GGA-PBEsol) results for a geometry-optimized TlSiSe structure.

POSCAR file:
```
TlSiSe
1.0
3.4271 0.0000 0.0000
-1.7136 2.9680 0.0000
0.0000 0.0000 6.9182
Tl Si Se
1 1 1
Cartesian
0.0000 0.0000 0.0000
1.7136 0.9893 2.5447
0.0000 1.9786 4.0021
```

Summary:
Its raw formation energy is 0.0 eV per formula unit.

# 2
DFT (GGA-PBEsol) results for a geometry-optimized Sr2HgAs structure.

POSCAR file:
```
Sr2HgAs
1.0
4.5044 0.0000 0.0000
0.0000 4.5044 0.0000
0.0000 0.0000 11.2526
Sr Hg As
4 2 2
Cartesian
0.0000 0.0000 0.0000
0.0000 2.2522 2.8131
2.2522 0.0000 8.4394
2.2522 2.2522 5.6263
0.0000 2.2522 8.4394
2.2522 0.0000 2.8131
0.0000 0.0000 5.6263
2.2522 2.2522 0.0000
```

E above lowest polymorph (meV/atom)
0 225